# Te2Pb5O12

Crystalline Te2Pb5O12 at its relaxed geometry (PBE, Alexandria).

Summary:
formation energy without anion corrections: -962 meV/atom

abc: 7.508 7.508 8.015
angles: 106.64 106.64 48.71
Sites, in units of the cell vectors:
Te 0.249 0.751 0.000
Te 0.751 0.249 0.000
Pb 0.000 0.000 0.500
Pb 0.295 0.295 0.622
Pb 0.297 0.297 0.184
Pb 0.703 0.703 0.816
Pb 0.705 0.705 0.378
O 0.014 0.014 0.843
O 0.090 0.583 0.430
O 0.113 0.598 0.894
O 0.402 0.887 0.106
O 0.417 0.910 0.570
O 0.491 0.491 0.162
O 0.509 0.509 0.838
O 0.583 0.090 0.430
O 0.598 0.113 0.894
O 0.887 0.402 0.106
O 0.910 0.417 0.570
O 0.986 0.986 0.157

***

# TePbO2

Crystalline TePbO2 at its relaxed geometry (PBE, Alexandria).

Summary:
formation energy without anion corrections: -517 meV/atom
ΔE to the lowest computed polymorph: 0.196 eV/atom

abc: 7.340 7.340 7.340
angles: 28.08 28.08 28.08
Sites, in units of the cell vectors:
Te 0.000 0.000 0.000
Pb 0.500 0.500 0.500
O 0.381 0.381 0.381
O 0.619 0.619 0.619